Material: KBaCa2Cu
Method: DFT, GGA-PBE
State: optimized geometry

a = 5.858 Å, b = 5.858 Å, c = 6.422 Å
α = 90.00°, β = 90.00°, γ = 90.00°
Element x y z (fractional)
K 0.000 0.000 0.000
Ba 0.500 0.500 0.000
Ca 0.000 0.500 0.500
Ca 0.500 0.000 0.500
Cu 0.000 0.000 0.500

## Properties
DOS(E_F) (states/eV per cell): 3.978
Energy of formation from the pure elements (meV per atom): 143
Polymorph energy (0 for the lowest one) (eV/atom): 0.097

---

Material: Y2OsPt
Method: DFT, GGA-PBE
State: optimized geometry

a = 8.180 Å, b = 8.180 Å, c = 8.180 Å
α = 138.17°, β = 138.17°, γ = 60.64°
Element x y z (fractional)
Y 0.104 0.625 0.979
Y 0.375 0.354 0.479
Y 0.646 0.125 0.021
Y 0.875 0.896 0.521
Os 0.000 0.000 0.000
Os 0.750 0.250 0.500
Pt 0.250 0.750 0.500
Pt 0.500 0.500 0.000

## Properties
DOS(E_F) (states/eV per cell): 0.036
Energy of formation from the pure elements (meV per atom): 428

---

Material: ScCoAs2
Method: DFT, GGA-PBE
State: optimized geometry

a = 4.547 Å, b = 4.547 Å, c = 4.547 Å
α = 60.00°, β = 60.00°, γ = 60.00°
Element x y z (fractional)
Sc 0.000 0.000 0.000
Co 0.750 0.750 0.750
As 0.250 0.250 0.250
As 0.500 0.500 0.500

## Properties
DOS(E_F) (states/eV per cell): 2.704
Energy of formation from the pure elements (meV per atom): -107

---

Material: PrNdHoAl
Method: DFT, GGA-PBE
State: optimized geometry

a = 5.470 Å, b = 5.470 Å, c = 5.470 Å
α = 60.00°, β = 60.00°, γ = 60.00°
Element x y z (fractional)
Pr 0.000 0.000 0.000
Nd 0.500 0.500 0.500
Ho 0.750 0.750 0.750
Al 0.250 0.250 0.250

## Properties
DOS(E_F) (states/eV per cell): 6.657
Energy of formation from the pure elements (meV per atom): -59

---

Material: NaPrTe4
Method: DFT, GGA-PBE
State: optimized geometry

a = 6.915 Å, b = 6.915 Å, c = 8.297 Å
α = 90.00°, β = 90.00°, γ = 90.00°
Element x y z (fractional)
Na 0.250 0.250 0.000
Na 0.750 0.750 0.000
Pr 0.250 0.250 0.500
Pr 0.750 0.750 0.500
Te 0.105 0.605 0.263
Te 0.105 0.895 0.737
Te 0.395 0.605 0.737
Te 0.395 0.895 0.263
Te 0.605 0.105 0.737
Te 0.605 0.395 0.263
Te 0.895 0.105 0.263
Te 0.895 0.395 0.737

## Properties
Raw formation energy (eV/atom): -0.8812
DOS(E_F) (states/eV per cell): 1.020

---

Material: Cs3Rb3SnI8
Method: DFT, GGA-PBE
State: optimized geometry

a = 10.809 Å, b = 10.809 Å, c = 10.809 Å
α = 58.76°, β = 58.76°, γ = 58.76°
Element x y z (fractional)
Cs 0.000 0.500 0.500
Cs 0.500 0.000 0.500
Cs 0.500 0.500 0.000
Rb 0.000 0.000 0.500
Rb 0.000 0.500 0.000
Rb 0.500 0.000 0.000
Sn 0.500 0.500 0.500
I 0.245 0.245 0.245
I 0.277 0.715 0.715
I 0.285 0.285 0.723
I 0.285 0.723 0.285
I 0.715 0.277 0.715
I 0.715 0.715 0.277
I 0.723 0.285 0.285
I 0.755 0.755 0.755

## Properties
Raw formation energy (eV/atom): -1.3264
DOS(E_F) (states/eV per cell): 0.000

---

Material: Ti3NbIn
Method: DFT, GGA-PBE
State: optimized geometry

a = 4.910 Å, b = 4.910 Å, c = 4.910 Å
α = 90.00°, β = 90.00°, γ = 90.00°
Element x y z (fractional)
Ti 0.000 0.000 0.500
Ti 0.000 0.500 0.000
Ti 0.500 0.000 0.000
Nb 0.500 0.500 0.500
In 0.000 0.000 0.000

## Properties
DOS(E_F) (states/eV per cell): 12.951
Energy of formation from the pure elements (meV per atom): 1459
Polymorph energy (0 for the lowest one) (eV/atom): 1.505

---

Material: Pr2NpPaN4
Method: DFT, GGA-PBE
State: optimized geometry

a = 6.172 Å, b = 3.558 Å, c = 6.238 Å
α = 90.00°, β = 109.50°, γ = 90.00°
Element x y z (fractional)
Pr 0.000 0.000 0.000
Pr 0.500 0.500 0.000
Np 0.000 0.500 0.500
Pa 0.500 0.000 0.500
N 0.236 0.000 0.708
N 0.267 0.500 0.290
N 0.733 0.500 0.710
N 0.764 0.000 0.292

## Properties
Raw formation energy (eV/atom): -1.3884
DOS(E_F) (states/eV per cell): 10.767